(1)
VASP calculation (PBE) on Sm6Dy2Er3Sc after structural relaxation.

- E_tot (eV/atom) = -4.77
- Fermi-level density of states (states/eV/cell) = 14.3
- formation energy (eV per atom) = 0.02

Lattice parameters (Å, degrees): 6.1683 6.1683 11.6878 95.04 95.04 119.99
With the nearest neighbours (Å) after each atom.
Element x y z (fractional)
Sm  0.4131  0.0825  0.2484  1 Sc 3.51, 2 Dy 3.53, 6 Sm 3.53-3.58, 3 Er 3.54-3.56
Sm  0.5869  0.9175  0.7516  1 Sc 3.51, 2 Dy 3.53, 6 Sm 3.53-3.58, 3 Er 3.54-3.56
Sm  0.7517  0.7517  0.2488  1 Sc 3.52, 2 Dy 3.53, 6 Sm 3.53-3.58, 3 Er 3.54-3.55
Sm  0.0825  0.4131  0.2484  1 Sc 3.51, 2 Dy 3.53, 6 Sm 3.53-3.58, 3 Er 3.54-3.56
Sc  0.0000  0.0000  0.0000  6 Sm 3.51-3.52, 6 Dy 3.56
Sm  0.2483  0.2483  0.7512  1 Sc 3.52, 2 Dy 3.53, 6 Sm 3.53-3.58, 3 Er 3.54-3.55
Dy  0.6666  0.3334  0.0000  6 Sm 3.53, 3 Dy 3.56, 3 Sc 3.56
Er  0.1665  0.8335  0.5000  6 Sm 3.54-3.56, 6 Er 3.56
Er  0.5000  0.5000  0.5000  6 Sm 3.55, 6 Er 3.56
Sm  0.9175  0.5869  0.7516  1 Sc 3.51, 2 Dy 3.53, 6 Sm 3.53-3.58, 3 Er 3.54-3.56
Er  0.8335  0.1665  0.5000  6 Sm 3.54-3.56, 6 Er 3.56
Dy  0.3334  0.6666  0.0000  6 Sm 3.53, 3 Dy 3.56, 3 Sc 3.56

(2)
VASP calculation (PBE) on Sr3LaTe4 after structural relaxation.

- E_tot (eV/atom) = -4.49
- Fermi-level density of states (states/eV/cell) = 3.0

Lattice parameters (Å, degrees): 4.6769 8.1383 8.1383 109.34 90.00 90.00
With the nearest neighbours (Å) after each atom.
Element x y z (fractional)
Te  0.5000  0.2469  0.7531  1 La 3.28, 5 Sr 3.32-3.36
Te  0.5000  0.7531  0.2469  1 La 3.28, 5 Sr 3.32-3.36
Te  0.0000  0.2452  0.2452  2 La 3.29, 4 Sr 3.32-3.35
Sr  0.0000  0.0000  0.5000  6 Te 3.32
Sr  0.5000  0.5000  0.5000  6 Te 3.35-3.36
Te  0.0000  0.7548  0.7548  2 La 3.29, 4 Sr 3.32-3.35
Sr  0.0000  0.5000  0.0000  6 Te 3.32
La  0.5000  0.0000  0.0000  6 Te 3.28-3.29

(3)
VASP calculation (PBE) on Ca3LaNi2 after structural relaxation.

- E_tot (eV/atom) = -3.91
- Fermi-level density of states (states/eV/cell) = 9.4
- formation energy (eV per atom) = -0.16

Lattice parameters (Å, degrees): 4.0226 8.8332 10.4862 75.48 78.94 76.84
With the nearest neighbours (Å) after each atom.
Element x y z (fractional)
Ca  0.5877  0.2658  0.5589  3 Ni 2.94-2.96
La  0.8308  0.5812  0.7571  3 Ni 2.79-3.08
Ni  0.2384  0.5782  0.9450  2 Ni 2.55, 2 La 2.79
Ca  0.1562  0.9391  0.7485  3 Ni 2.92-2.99
Ni  0.7616  0.4218  0.0550  2 Ni 2.55, 2 La 2.79
Ca  0.8438  0.0609  0.2515  3 Ni 2.92-2.99
Ca  0.4123  0.7342  0.4411  3 Ni 2.94-2.96
Ca  0.5883  0.7666  0.0567  3 Ni 2.97
Ni  0.7646  0.9259  0.5449  2 Ni 2.45
La  0.1692  0.4188  0.2429  3 Ni 2.79-3.08
Ni  0.2354  0.0741  0.4551  2 Ni 2.45
Ca  0.4117  0.2334  0.9433  3 Ni 2.97